(1)
First-principles (PBE) data for a relaxed Pr3Zn3Ag crystal, as listed in Alexandria.

Unit cell a=10.6363 b=10.6363 c=10.6363 alpha=160.05 beta=154.97 gamma=32.22
Closest atoms and distances in Å follow each position.
Atoms (fractional coordinates):
Pr  0.0000  0.0000  0.0000  7 Zn 3.13-3.45
Pr  0.3848  0.3848  0.0000  5 Zn 3.15-3.47, 2 Ag 3.21
Pr  0.6887  0.1887  0.5000  8 Zn 3.23-3.45, 4 Ag 3.26
Zn  0.1239  0.6239  0.5000  1 Ag 2.71, 2 Zn 2.71
Zn  0.5544  0.5544  0.0000  2 Zn 2.71
Zn  0.8313  0.8313  0.0000  2 Ag 2.77
Ag  0.2564  0.7564  0.5000  3 Zn 2.71-2.77

Values from the calculation:
Energy of formation from the pure elements ... -0.279 eV per atom

(2)
First-principles (PBE) data for a relaxed Pr2Te2I crystal, as listed in Alexandria.

Unit cell a=7.8484 b=7.8484 c=7.8484 alpha=146.46 beta=132.81 gamma=59.13
Closest atoms and distances in Å follow each position.
Atoms (fractional coordinates):
Pr  0.1804  0.1804  0.0000  4 Te 3.16, 2 I 3.35
Pr  0.8196  0.8196  0.0000  4 Te 3.16, 2 I 3.35
Te  0.3414  0.8414  0.5000  4 Pr 3.16
Te  0.6586  0.1586  0.5000  4 Pr 3.16
I  0.0000  0.5000  0.5000  4 Pr 3.35

Values from the calculation:
Formation energy (no corrections) ... -132 kJ/mol of atoms
Relative energy among the computed polymorphs ... 0.061 eV per atom

(3)
First-principles (PBE) data for a relaxed Tm5In2Ru crystal, as listed in Alexandria.

Unit cell a=6.6341 b=12.4112 c=4.9204 alpha=90.00 beta=90.00 gamma=90.00
Closest atoms and distances in Å follow each position.
Atoms (fractional coordinates):
Tm  0.0000  0.0000  0.0000  4 In 3.22, 2 Ru 3.32, 4 Tm 3.48
Tm  0.1131  0.2861  0.0000  1 Ru 2.76
Tm  0.1698  0.5914  0.5000  2 Ru 2.93, 2 In 3.11-3.18, 1 Tm 3.20
Tm  0.3302  0.0914  0.5000  2 Ru 2.93, 2 In 3.11-3.18, 1 Tm 3.20
Tm  0.3869  0.7861  0.0000  1 Ru 2.76
Tm  0.5000  0.5000  0.0000  4 In 3.22, 2 Ru 3.32, 4 Tm 3.48
Tm  0.6131  0.2139  0.0000  1 Ru 2.76
Tm  0.6698  0.9086  0.5000  2 Ru 2.93, 2 In 3.11-3.18, 1 Tm 3.20
Tm  0.8302  0.4086  0.5000  2 Ru 2.93, 2 In 3.11-3.18, 1 Tm 3.20
Tm  0.8869  0.7139  0.0000  1 Ru 2.76
In  0.1240  0.8464  0.5000  9 Tm 3.11-3.35
In  0.3760  0.3464  0.5000  9 Tm 3.11-3.35
In  0.6240  0.6536  0.5000  9 Tm 3.11-3.35
In  0.8760  0.1536  0.5000  9 Tm 3.11-3.35
Ru  0.0000  0.5000  0.0000  6 Tm 2.76-2.93
Ru  0.5000  0.0000  0.0000  6 Tm 2.76-2.93

Values from the calculation:
Energy of formation from the pure elements ... -0.397 eV per atom

(4)
First-principles (PBE) data for a relaxed Ta3Ir5 crystal, as listed in Alexandria.

Unit cell a=7.7119 b=7.7119 c=5.2674 alpha=90.00 beta=90.00 gamma=120.00
Closest atoms and distances in Å follow each position.
Atoms (fractional coordinates):
Ta  0.0000  0.2828  0.0000  5 Ir 2.62-2.73
Ta  0.0000  0.7161  0.5000  5 Ir 2.61-2.73
Ta  0.2828  0.0000  0.0000  5 Ir 2.62-2.73
Ta  0.2839  0.2839  0.5000  5 Ir 2.61-2.73
Ta  0.7161  0.0000  0.5000  5 Ir 2.61-2.73
Ta  0.7172  0.7172  0.0000  5 Ir 2.62-2.73
Ir  0.0000  0.3752  0.5000  5 Ta 2.61-2.73, 4 Ir 2.76
Ir  0.0000  0.6240  0.0000  5 Ta 2.62-2.73, 4 Ir 2.76
Ir  0.3333  0.6667  0.2500  8 Ir 2.63-2.76
Ir  0.3333  0.6667  0.7500  8 Ir 2.63-2.76
Ir  0.3752  0.0000  0.5000  5 Ta 2.61-2.73, 4 Ir 2.76
Ir  0.3760  0.3760  0.0000  5 Ta 2.62-2.73, 4 Ir 2.76
Ir  0.6240  0.0000  0.0000  5 Ta 2.62-2.73, 4 Ir 2.76
Ir  0.6248  0.6248  0.5000  5 Ta 2.61-2.73, 4 Ir 2.76
Ir  0.6667  0.3333  0.2500  8 Ir 2.63-2.76
Ir  0.6667  0.3333  0.7500  8 Ir 2.63-2.76

Values from the calculation:
Energy of formation from the pure elements ... -0.319 eV per atom
Relative energy among the computed polymorphs ... 0.276 eV per atom

(5)
First-principles (PBE) data for a relaxed Al3Ge2 crystal, as listed in Alexandria.

Unit cell a=6.4847 b=6.4847 c=6.4847 alpha=61.21 beta=61.21 gamma=61.21
Closest atoms and distances in Å follow each position.
Atoms (fractional coordinates):
Al  0.0016  0.7500  0.4984  4 Ge 2.56-2.70
Al  0.2500  0.5016  0.9984  4 Ge 2.56-2.70
Al  0.4984  0.0016  0.7500  4 Ge 2.56-2.70
Al  0.5016  0.9984  0.2500  4 Ge 2.56-2.70
Al  0.7500  0.4984  0.0016  4 Ge 2.56-2.70
Al  0.9984  0.2500  0.5016  4 Ge 2.56-2.70
Ge  0.1145  0.1145  0.1145  6 Al 2.56-2.70
Ge  0.3855  0.3855  0.3855  6 Al 2.56-2.70
Ge  0.6145  0.6145  0.6145  6 Al 2.56-2.70
Ge  0.8855  0.8855  0.8855  6 Al 2.56-2.70

Values from the calculation:
Energy of formation from the pure elements ... 0.118 eV per atom

(6)
First-principles (PBE) data for a relaxed PuTaNi4 crystal, as listed in Alexandria.

Unit cell a=4.9167 b=4.9167 c=4.9167 alpha=60.00 beta=60.00 gamma=60.00
Closest atoms and distances in Å follow each position.
Atoms (fractional coordinates):
Pu  0.0000  0.0000  0.0000  12 Ni 2.88, 4 Ta 3.01
Ta  0.7500  0.7500  0.7500  12 Ni 2.88, 4 Pu 3.01
Ni  0.3754  0.3754  0.3754  6 Ni 2.45-2.47
Ni  0.3754  0.3754  0.8737  6 Ni 2.45-2.47
Ni  0.3754  0.8737  0.3754  6 Ni 2.45-2.47
Ni  0.8737  0.3754  0.3754  6 Ni 2.45-2.47

Values from the calculation:
Energy of formation from the pure elements ... -0.148 eV per atom

(7)
First-principles (PBE) data for a relaxed Ca2Pb2C crystal, as listed in Alexandria.

Unit cell a=7.1880 b=7.1880 c=5.0761 alpha=90.00 beta=90.00 gamma=90.00
Closest atoms and distances in Å follow each position.
Atoms (fractional coordinates):
Ca  0.1644  0.3356  0.0000  6 Pb 3.12-3.44, 1 Ca 3.34
Ca  0.3356  0.8356  0.0000  6 Pb 3.12-3.44, 1 Ca 3.34
Ca  0.6644  0.1644  0.0000  6 Pb 3.12-3.44, 1 Ca 3.34
Ca  0.8356  0.6644  0.0000  6 Pb 3.12-3.44, 1 Ca 3.34
Pb  0.1578  0.6578  0.5000  2 C 2.71
Pb  0.3422  0.1578  0.5000  2 C 2.71
Pb  0.6578  0.8422  0.5000  2 C 2.71
Pb  0.8422  0.3422  0.5000  2 C 2.71
C  0.0000  0.0000  0.5000  4 Pb 2.71
C  0.5000  0.5000  0.5000  4 Pb 2.71

Values from the calculation:
Energy of formation from the pure elements ... 0.562 eV per atom
Relative energy among the computed polymorphs ... 0.000 eV per atom

(8)
First-principles (PBE) data for a relaxed Sm4Dy2Al crystal, as listed in Alexandria.

Unit cell a=19.3510 b=19.3510 c=19.3510 alpha=10.80 beta=10.80 gamma=10.80
Closest atoms and distances in Å follow each position.
Atoms (fractional coordinates):
Sm  0.0927  0.0927  0.0927  3 Dy 3.55, 9 Sm 3.64-3.71
Sm  0.2936  0.2936  0.2936  3 Al 3.11
Sm  0.7064  0.7064  0.7064  3 Al 3.11
Sm  0.9073  0.9073  0.9073  3 Dy 3.55, 9 Sm 3.64-3.71
Dy  0.1911  0.1911  0.1911  9 Dy 3.52-3.64, 3 Sm 3.55
Dy  0.8089  0.8089  0.8089  9 Dy 3.52-3.64, 3 Sm 3.55
Al  0.0000  0.0000  0.0000  6 Sm 3.11

Values from the calculation:
Energy of formation from the pure elements ... -0.021 eV per atom

| no. | magnetization (Bohr magnetons per cell) |
| --- | --- |
| 1 | 0.000 |
| 2 | 0.000 |
| 3 | 0.000 |
| 4 | 0.000 |
| 5 | 0.000 |
| 6 | 5.939 |
| 7 | 0.000 |
| 8 | 0.001 |